SrTbHo4Se8 after structural relaxation. Source: Alexandria, functional GGA-PBE.

Computed properties:
spin magnetization: 0.0 μB per formula unit
formation energy (no corrections): -1787.2 meV per atom
symmetry: R3m

abc: 8.520 8.520 8.520
angles: 59.84 59.84 59.84
Fractional positions:
Sr (0.000, 0.000, 0.000)
Tb (0.628, 0.628, 0.628)
Ho (0.120, 0.627, 0.627)
Ho (0.251, 0.251, 0.251)
Ho (0.627, 0.120, 0.627)
Ho (0.627, 0.627, 0.120)
Se (0.382, 0.382, 0.854)
Se (0.382, 0.854, 0.382)
Se (0.383, 0.383, 0.383)
Se (0.416, 0.864, 0.864)
Se (0.854, 0.382, 0.382)
Se (0.862, 0.862, 0.862)
Se (0.864, 0.416, 0.864)
Se (0.864, 0.864, 0.416)


ZnCuSiNi after structural relaxation. Source: Alexandria, functional GGA-PBE.

Computed properties:
spin magnetization: 0.0 μB per formula unit
formation energy (no corrections): -157.3 meV per atom
symmetry: F-43m

abc: 4.092 4.092 4.092
angles: 60.00 60.00 60.00
Fractional positions:
Zn (0.000, 0.000, 0.000)
Cu (0.250, 0.250, 0.250)
Si (0.500, 0.500, 0.500)
Ni (0.750, 0.750, 0.750)


Cs2Na17 after structural relaxation. Source: Alexandria, functional GGA-PBE.

Computed properties:
spin magnetization: 0.0 μB per formula unit
energy relative to the elements: 0.3 eV per formula unit
symmetry: R-3m

abc: 9.520 9.520 9.520
angles: 83.02 83.02 83.02
Fractional positions:
Cs (0.156, 0.156, 0.156)
Cs (0.844, 0.844, 0.844)
Na (0.000, 0.500, 0.500)
Na (0.155, 0.155, 0.643)
Na (0.155, 0.643, 0.155)
Na (0.212, 0.500, 0.788)
Na (0.212, 0.788, 0.500)
Na (0.357, 0.845, 0.845)
Na (0.404, 0.404, 0.404)
Na (0.500, 0.000, 0.500)
Na (0.500, 0.212, 0.788)
Na (0.500, 0.500, 0.000)
Na (0.500, 0.788, 0.212)
Na (0.596, 0.596, 0.596)
Na (0.643, 0.155, 0.155)
Na (0.788, 0.212, 0.500)
Na (0.788, 0.500, 0.212)
Na (0.845, 0.357, 0.845)
Na (0.845, 0.845, 0.357)